# Ta2Te2Ir (PBE-GGA, relaxed)
data_Ta2Te2Ir
_chemical_formula_sum 'Ta4 Te4 Ir2'
_cell_length_a 7.5976
_cell_length_b 7.5976
_cell_length_c 3.4392
_cell_angle_alpha 90.00
_cell_angle_beta 90.00
_cell_angle_gamma 90.00
_symmetry_space_group_name_H-M 'P 4/m b m'
_symmetry_Int_Tables_number 127
_symmetry_space_group_name_Hall '-P 4 2ab'
loop_
_atom_site_label
_atom_site_type_symbol
_atom_site_fract_x
_atom_site_fract_y
_atom_site_fract_z
_atom_site_occupancy
Ta1 Ta 0.1377 0.3623 0.0000 1
Te1 Te 0.1601 0.6601 0.5000 1
Ir1 Ir 0.0000 0.0000 0.5000 1
# Energy relative to the elements, uncorrected ... 0.564 eV per atom
# E_tot ... -7.2061 eV/atom
# Energy relative to the lowest polymorph listed for this composition ... 0.000 eV per atom
# DOS(E_F) ... 5.763 states/eV/cell
# Magnetization ... 0.000 μB per formula unit